Compound: Y4ZrSi3
Source: Alexandria via LeMat-Bulk
Functional: PBEsol
Structure: optimized geometry

Computed properties:
**VASP energy**: -119.51 eV for the cell shown
**ΔE_f (raw)**: -0.7670 eV/atom
**Spin magnetization**: 0.00 μB/cell

Structure (extended XYZ):
```
16
Lattice="8.257 0.000 0.000 -4.129 7.151 0.000 0.000 0.000 6.125" Properties=species:S:1:pos:R:3 pbc="T T T"
Y -1.010 1.749 1.563
Y -3.119 5.402 4.561
Y 2.020 0.000 1.563
Y 1.010 1.749 4.561
Y 0.000 4.767 0.000
Y 4.129 2.384 0.000
Y 6.238 0.000 4.561
Y 3.119 5.402 1.563
Zr 0.000 4.767 3.062
Zr 4.129 2.384 3.062
Si -1.652 2.862 4.421
Si -2.476 4.289 1.703
Si 3.305 0.000 4.421
Si 1.652 2.862 1.703
Si 4.953 0.000 1.703
Si 2.476 4.289 4.421
```